## Pm3Cd2Ga (PBE)

Data for a geometry-optimized Pm3Cd2Ga structure. Values from VASP.

Results
Total moment, μB/cell: 0.4
Distance to the lowest polymorph of the same formula, eV/atom: 0.000
Space group: P4/mmm, No. 123
Mass density, g cm⁻³: 7.501

```
&SYSTEM
  ibrav = 0, nat = 6, ntyp = 3
/
ATOMIC_SPECIES
Pm 145.00 Pm.upf
Cd 112.41 Cd.upf
Ga 69.72 Ga.upf
CELL_PARAMETERS angstrom
-0.994 0.615 3.541
-2.268 -2.957 -0.123
8.683 -6.811 3.622
ATOMIC_POSITIONS angstrom
Pm 0.000 0.000 0.000
Pm 5.667 -4.445 2.364
Pm 3.016 -2.366 1.258
Cd 5.569 -6.819 4.712
Cd -0.149 -2.333 2.327
Ga 2.710 -4.576 3.520
```